An optimized crystal structure of Ba8NaSr2. Source: the Alexandria database, functional PBE-GGA.

extended XYZ file:
```
11
Lattice="11.540 -3.487 0.000 11.540 3.487 0.000 -0.031 0.000 8.218" Properties=species:S:1:pos:R:3 pbc="T T T"
Ba 0.961 0.000 1.994
Ba 5.244 0.000 1.149
Ba 7.478 0.000 4.846
Ba 9.471 0.000 0.547
Ba 13.578 0.000 7.672
Ba 15.571 0.000 3.372
Ba 17.806 0.000 7.070
Ba 22.088 0.000 6.224
Na 11.525 0.000 4.109
Sr 3.308 0.000 5.651
Sr 19.741 0.000 2.568
```

Results
Energy relative to the lowest polymorph listed for this composition ... 0.000 eV/atom
Crystal system ... monoclinic

=====

An optimized crystal structure of BaNa2Sr2. Source: the Alexandria database, functional PBE-GGA.

extended XYZ file:
```
10
Lattice="10.453 0.000 0.000 0.000 10.453 0.000 0.000 0.000 4.589" Properties=species:S:1:pos:R:3 pbc="T T T"
Ba 0.000 0.000 0.000
Ba 5.227 5.227 0.000
Na 1.297 3.930 0.000
Na 3.930 9.156 0.000
Na 6.523 1.297 0.000
Na 9.156 6.523 0.000
Sr 1.782 7.008 2.295
Sr 3.445 1.782 2.295
Sr 7.008 8.672 2.295
Sr 8.672 3.445 2.295
```

Results
Energy relative to the lowest polymorph listed for this composition ... 0.004 eV/atom
Crystal system ... tetragonal

=====

An optimized crystal structure of BaNa2Sr6. Source: the Alexandria database, functional PBE-GGA.

extended XYZ file:
```
9
Lattice="5.889 0.000 0.000 0.000 5.889 0.000 0.000 0.000 13.919" Properties=species:S:1:pos:R:3 pbc="T T T"
Ba 0.000 0.000 0.000
Na 2.945 2.945 1.523
Na 2.945 2.945 12.396
Sr 0.000 0.000 6.960
Sr 0.000 2.945 3.859
Sr 0.000 2.945 10.060
Sr 2.945 0.000 3.859
Sr 2.945 0.000 10.060
Sr 2.945 2.945 6.960
```

Results
Energy relative to the lowest polymorph listed for this composition ... 0.038 eV/atom
Crystal system ... tetragonal

=====

An optimized crystal structure of Ba3NaSr2. Source: the Alexandria database, functional PBE-GGA.

extended XYZ file:
```
12
Lattice="3.083 -9.517 0.000 3.083 9.517 0.000 0.000 0.000 11.745" Properties=species:S:1:pos:R:3 pbc="T T T"
Ba 0.000 0.000 2.865
Ba 0.000 0.000 8.879
Ba 3.083 3.213 2.721
Ba 3.083 3.213 9.024
Ba 3.083 -3.213 2.721
Ba 3.083 -3.213 9.024
Na 3.083 6.516 0.000
Na 3.083 -6.516 0.000
Sr 3.083 6.311 5.872
Sr 3.083 0.000 0.000
Sr 3.083 0.000 5.872
Sr 3.083 -6.311 5.872
```

Results
Energy relative to the lowest polymorph listed for this composition ... 0.004 eV/atom
Crystal system ... orthorhombic

=====

An optimized crystal structure of Ba3NaSr12. Source: the Alexandria database, functional PBE-GGA.

extended XYZ file:
```
16
Lattice="6.059 0.000 0.000 0.000 6.059 0.000 0.000 0.000 24.307" Properties=species:S:1:pos:R:3 pbc="T T T"
Ba 0.000 0.000 0.000
Ba 0.000 0.000 6.178
Ba 0.000 0.000 18.129
Na 0.000 0.000 12.154
Sr 0.000 3.029 3.101
Sr 0.000 3.029 9.300
Sr 0.000 3.029 15.007
Sr 0.000 3.029 21.206
Sr 3.029 0.000 3.101
Sr 3.029 0.000 9.300
Sr 3.029 0.000 15.007
Sr 3.029 0.000 21.206
Sr 3.029 3.029 0.000
Sr 3.029 3.029 6.239
Sr 3.029 3.029 12.154
Sr 3.029 3.029 18.068
```

Results
Crystal system ... tetragonal

=====

An optimized crystal structure of BaNa4Sr4. Source: the Alexandria database, functional PBE-GGA.

extended XYZ file:
```
18
Lattice="11.211 0.000 0.000 0.000 11.211 0.000 0.000 0.000 7.056" Properties=species:S:1:pos:R:3 pbc="T T T"
Ba 2.803 2.803 1.764
Ba 8.408 8.408 5.292
Na 0.596 1.431 4.476
Na 1.431 5.009 6.108
Na 4.174 0.596 6.108
Na 5.009 4.174 4.476
Na 6.201 7.037 2.580
Na 7.037 10.615 0.948
Na 9.779 6.201 0.948
Na 10.615 9.779 2.580
Sr 1.077 9.364 6.348
Sr 1.847 6.682 2.820
Sr 3.758 10.134 2.820
Sr 4.528 7.452 6.348
Sr 6.682 3.758 0.708
Sr 7.452 1.077 4.236
Sr 9.364 4.528 4.236
Sr 10.134 1.847 0.708
```

Results
Crystal system ... tetragonal

=====

An optimized crystal structure of Ba8Na2Sr3. Source: the Alexandria database, functional PBE-GGA.

extended XYZ file:
```
13
Lattice="8.529 0.000 0.000 0.000 6.837 0.000 -1.783 0.000 12.872" Properties=species:S:1:pos:R:3 pbc="T T T"
Ba -0.378 0.000 4.411
Ba 0.238 3.419 11.850
Ba 1.981 3.419 3.366
Ba 2.282 0.000 10.545
Ba 4.465 0.000 2.327
Ba 4.765 3.419 9.505
Ba 6.509 3.419 1.022
Ba 7.124 0.000 8.461
Na 1.118 0.000 0.989
Na 5.628 0.000 11.883
Sr 0.955 3.419 7.528
Sr 3.373 0.000 6.436
Sr 5.791 3.419 5.344
```

Results
Energy relative to the lowest polymorph listed for this composition ... 0.000 eV/atom
Crystal system ... monoclinic

=====

An optimized crystal structure of Ba3NaSr2. Source: the Alexandria database, functional PBE-GGA.

extended XYZ file:
```
12
Lattice="10.338 -3.464 0.000 10.338 3.464 0.000 0.000 0.000 9.599" Properties=species:S:1:pos:R:3 pbc="T T T"
Ba 0.000 0.000 0.000
Ba 0.000 0.000 4.799
Ba 7.101 0.000 0.000
Ba 7.101 0.000 4.799
Ba 13.575 0.000 0.000
Ba 13.575 0.000 4.799
Na 10.338 0.006 7.199
Na 10.338 -0.006 2.400
Sr 3.626 0.000 2.400
Sr 3.626 0.000 7.199
Sr 17.051 0.000 2.400
Sr 17.051 0.000 7.199
```

Results
Energy relative to the lowest polymorph listed for this composition ... 0.000 eV/atom
Crystal system ... orthorhombic

=====

An optimized crystal structure of BaNa3Sr. Source: the Alexandria database, functional PBE-GGA.

extended XYZ file:
```
10
Lattice="3.595 2.075 11.260 -3.595 2.075 11.260 0.000 -4.151 11.260" Properties=species:S:1:pos:R:3 pbc="T T T"
Ba 0.000 0.000 6.336
Ba 0.000 0.000 27.443
Na 0.000 -2.083 13.985
Na -1.804 1.041 13.985
Na -1.804 -1.041 19.793
Na 1.804 1.041 13.985
Na 1.804 -1.041 19.793
Na 0.000 2.083 19.793
Sr 0.000 0.000 10.556
Sr 0.000 0.000 23.223
```

Results
Energy relative to the lowest polymorph listed for this composition ... 0.032 eV/atom
Crystal system ... trigonal

=====

An optimized crystal structure of Ba8NaSr3. Source: the Alexandria database, functional PBE-GGA.

extended XYZ file:
```
12
Lattice="-5.239 5.239 7.157 5.239 -5.239 7.157 5.239 5.239 -7.157" Properties=species:S:1:pos:R:3 pbc="T T T"
Ba 3.861 3.861 -3.394
Ba 2.498 -2.498 6.885
Ba 2.740 2.740 0.271
Ba 1.377 1.377 3.762
Ba 1.377 -1.377 10.551
Ba -2.498 2.498 6.885
Ba 2.498 2.498 7.428
Ba -1.377 1.377 10.551
Na 0.000 0.000 7.157
Sr 0.000 0.000 0.000
Sr 5.239 0.000 3.578
Sr 0.000 5.239 3.578
```

Results
Crystal system ... tetragonal

=====

An optimized crystal structure of Ba4Na2Sr5. Source: the Alexandria database, functional PBE-GGA.

extended XYZ file:
```
11
Lattice="10.546 0.000 0.000 0.000 4.266 0.000 -0.946 0.000 13.803" Properties=species:S:1:pos:R:3 pbc="T T T"
Ba 1.286 0.000 5.365
Ba 2.074 0.000 13.071
Ba 7.525 0.000 0.732
Ba 8.314 0.000 8.438
Na 0.458 2.133 1.826
Na 9.142 2.133 11.977
Sr 1.477 2.133 9.252
Sr 4.306 2.133 2.846
Sr 4.800 2.133 6.901
Sr 5.294 2.133 10.956
Sr 8.123 2.133 4.550
```

Results
Energy relative to the lowest polymorph listed for this composition ... 0.020 eV/atom
Crystal system ... monoclinic

=====

An optimized crystal structure of BaNa2Sr2. Source: the Alexandria database, functional PBE-GGA.

extended XYZ file:
```
10
Lattice="11.010 0.000 0.000 0.000 11.010 0.000 0.000 0.000 4.175" Properties=species:S:1:pos:R:3 pbc="T T T"
Ba 0.000 0.000 0.000
Ba 5.505 5.505 0.000
Na 1.817 3.688 2.088
Na 3.688 9.193 2.088
Na 7.322 1.817 2.088
Na 9.193 7.322 2.088
Sr 1.458 6.963 0.000
Sr 4.047 1.458 0.000
Sr 6.963 9.552 0.000
Sr 9.552 4.047 0.000
```

Results
Energy relative to the lowest polymorph listed for this composition ... 0.067 eV/atom
Crystal system ... tetragonal

=====

An optimized crystal structure of Ba4NaSr4. Source: the Alexandria database, functional PBE-GGA.

extended XYZ file:
```
9
Lattice="-6.352 6.352 3.211 6.352 -6.352 3.211 6.352 6.352 -3.211" Properties=species:S:1:pos:R:3 pbc="T T T"
Ba 4.110 0.000 0.000
Ba 8.593 0.000 0.000
Ba 0.000 4.110 0.000
Ba 0.000 8.593 0.000
Na 0.000 0.000 0.000
Sr 4.272 4.272 0.000
Sr 2.080 -2.080 3.211
Sr -2.080 2.080 3.211
Sr 2.080 2.080 3.211
```

Results
Crystal system ... tetragonal

=====

An optimized crystal structure of Ba5Na3Sr. Source: the Alexandria database, functional PBE-GGA.

extended XYZ file:
```
18
Lattice="7.807 -5.348 0.000 7.807 5.348 0.000 -6.860 0.000 12.889" Properties=species:S:1:pos:R:3 pbc="T T T"
Ba 2.395 3.172 4.647
Ba -1.492 0.000 3.978
Ba 7.807 3.359 0.000
Ba -2.675 0.000 12.125
Ba 6.358 3.172 8.242
Ba 2.395 -3.172 4.647
Ba 11.428 0.000 0.763
Ba 7.807 -3.359 0.000
Ba 10.244 0.000 8.911
Ba 6.358 -3.172 8.242
Na 2.317 0.000 2.580
Na 1.206 0.000 6.411
Na 7.807 0.000 0.000
Na 4.376 0.000 6.444
Na 7.547 0.000 6.478
Na 6.435 0.000 10.309
Sr 2.586 0.000 9.744
Sr 6.167 0.000 3.145
```

Results
Crystal system ... monoclinic

=====

An optimized crystal structure of BaNa2Sr2. Source: the Alexandria database, functional PBE-GGA.

extended XYZ file:
```
5
Lattice="8.621 -2.115 0.000 8.621 2.115 0.000 -1.497 0.000 6.992" Properties=species:S:1:pos:R:3 pbc="T T T"
Ba 0.000 0.000 0.000
Na 3.809 0.000 6.133
Na 11.936 0.000 0.858
Sr 5.843 0.000 3.052
Sr 9.902 0.000 3.940
```

Results
Energy relative to the lowest polymorph listed for this composition ... 0.045 eV/atom
Crystal system ... monoclinic

=====

An optimized crystal structure of BaNa7Sr12. Source: the Alexandria database, functional PBE-GGA.

extended XYZ file:
```
20
Lattice="8.422 4.862 4.045 -8.422 4.862 4.045 0.000 -9.725 4.045" Properties=species:S:1:pos:R:3 pbc="T T T"
Ba 0.000 0.000 0.000
Na -0.762 -5.984 3.212
Na -4.802 3.652 3.212
Na -5.563 -2.333 8.924
Na 0.000 0.000 6.068
Na 5.563 2.333 3.212
Na 4.802 -3.652 8.924
Na 0.762 5.984 8.924
Sr -1.841 -1.954 3.000
Sr -4.082 0.565 5.307
Sr -0.772 2.572 3.000
Sr -2.530 -3.253 6.829
Sr 2.613 -0.618 3.000
Sr 1.552 -3.818 5.307
Sr -1.552 3.818 6.829
Sr -2.613 0.618 9.135
Sr 2.530 3.253 5.307
Sr 0.772 -2.572 9.135
Sr 4.082 -0.565 6.829
Sr 1.841 1.954 9.135
```

Results
Crystal system ... trigonal

=====

An optimized crystal structure of Ba4NaSr3. Source: the Alexandria database, functional PBE-GGA.

extended XYZ file:
```
8
Lattice="4.853 0.000 0.000 0.000 4.853 0.000 0.000 0.000 19.524" Properties=species:S:1:pos:R:3 pbc="T T T"
Ba 0.000 0.000 2.252
Ba 0.000 0.000 7.287
Ba 0.000 0.000 12.237
Ba 0.000 0.000 17.273
Na 2.427 2.427 0.000
Sr 2.427 2.427 4.857
Sr 2.427 2.427 9.762
Sr 2.427 2.427 14.668
```

Results
Energy relative to the lowest polymorph listed for this composition ... 0.000 eV/atom
Crystal system ... tetragonal

=====

An optimized crystal structure of Ba9Na2Sr. Source: the Alexandria database, functional PBE-GGA.

extended XYZ file:
```
12
Lattice="6.168 0.000 0.000 0.000 6.168 0.000 0.000 0.000 19.027" Properties=species:S:1:pos:R:3 pbc="T T T"
Ba 0.000 0.000 0.000
Ba 0.000 0.000 6.405
Ba 0.000 0.000 12.623
Ba 0.000 3.084 3.259
Ba 0.000 3.084 9.514
Ba 0.000 3.084 15.768
Ba 3.084 0.000 3.259
Ba 3.084 0.000 9.514
Ba 3.084 0.000 15.768
Na 3.084 3.084 6.398
Na 3.084 3.084 12.629
Sr 3.084 3.084 0.000
```

Results
Crystal system ... tetragonal

=====

An optimized crystal structure of BaNa5Sr. Source: the Alexandria database, functional PBE-GGA.

extended XYZ file:
```
7
Lattice="5.159 0.000 0.000 0.000 5.159 0.000 0.000 0.000 12.643" Properties=species:S:1:pos:R:3 pbc="T T T"
Ba 0.000 0.000 0.000
Na 0.000 2.579 3.189
Na 0.000 2.579 9.455
Na 2.579 0.000 3.189
Na 2.579 0.000 9.455
Na 2.579 2.579 0.000
Sr 2.579 2.579 6.322
```

Results
Crystal system ... tetragonal

=====

An optimized crystal structure of Ba4NaSr3. Source: the Alexandria database, functional PBE-GGA.

extended XYZ file:
```
8
Lattice="4.280 0.000 0.000 0.000 6.771 0.000 0.000 0.000 16.202" Properties=species:S:1:pos:R:3 pbc="T T T"
Ba 0.000 0.000 0.000
Ba 0.000 3.385 5.577
Ba 2.140 0.000 7.956
Ba 2.140 3.385 13.792
Na 2.140 0.000 3.835
Sr 0.000 0.000 11.932
Sr 0.000 3.385 9.784
Sr 2.140 3.385 1.777
```

Results
Energy relative to the lowest polymorph listed for this composition ... 0.030 eV/atom
Crystal system ... orthorhombic

=====

| no. | total magnetization (μB per cell) | calculated formation energy (eV per atom) | mass density (Mg/m³) |
| --- | --- | --- | --- |
| 1 | 0.00 | 0.018 | 3.3 |
| 2 | 0.00 | 0.024 | 2.4 |
| 3 | 0.00 | 0.051 | 2.4 |
| 4 | 0.00 | 0.020 | 2.9 |
| 5 | 0.00 | 0.014 | 2.8 |
| 6 | 0.00 | 0.099 | 2.2 |
| 7 | 0.00 | 0.045 | 3.1 |
| 8 | 0.00 | 0.016 | 2.9 |
| 9 | 0.00 | 0.098 | 1.9 |
| 10 | 0.02 | 0.336 | 2.9 |
| 11 | 0.00 | 0.043 | 2.8 |
| 12 | 0.00 | 0.087 | 2.4 |
| 13 | 0.00 | 0.019 | 3.0 |
| 14 | 2.12 | 0.174 | 2.6 |
| 15 | 0.00 | 0.065 | 2.3 |
| 16 | 0.00 | 0.061 | 2.3 |
| 17 | 0.00 | 0.010 | 3.0 |
| 18 | 0.00 | 0.044 | 3.1 |
| 19 | 0.00 | 0.142 | 1.7 |
| 20 | 0.00 | 0.040 | 3.0 |